No. 1
{"formula": "Be2VPdBr", "functional": "GGA-PBE", "state": "relaxed", "crystal_system": "tetragonal", "e_form_raw_ev_per_atom": 1.236, "cell": [[4.240, 0.000, 0.000], [0.000, 4.240, 0.000], [0.000, 0.000, 4.421]], "species": ["Be", "Be", "V", "Pd", "Br"], "frac_coords": [[0.000, 0.500, 0.000], [0.500, 0.000, 0.000], [0.000, 0.000, 0.500], [0.500, 0.500, 0.500], [0.000, 0.000, 0.000]]}

---

No. 2
{"formula": "IrPdRuPt", "functional": "GGA-PBE", "state": "relaxed", "crystal_system": "tetragonal", "formation_energy_ev_per_atom": -0.027, "cell": [[2.745, 0.000, 0.000], [0.000, 2.745, 0.000], [0.000, 0.000, 7.877]], "species": ["Ir", "Pd", "Ru", "Pt"], "frac_coords": [[0.000, 0.000, 0.000], [0.500, 0.500, 0.258], [0.500, 0.500, 0.774], [0.000, 0.000, 0.523]]}